# 1
{"formula": "SmDy6Y8", "functional": "PBE-GGA", "state": "relaxed", "formation_energy_ev_per_atom": 0.132, "final_energy_ev_per_cell": -82.07, "magnetic_moment_mub_per_atom": 0.000, "lattice_angstrom": [[9.058, 0.000, 0.000], [4.529, 7.844, 0.000], [4.529, 2.615, 6.892]], "species": ["Dy", "Dy", "Dy", "Dy", "Dy", "Dy", "Sm", "Y", "Y", "Y", "Y", "Y", "Y", "Y", "Y"], "frac_coords": [[0.540, 0.109, 0.122], [0.771, 0.460, 0.878], [0.891, 0.771, 0.878], [0.460, 0.891, 0.878], [0.109, 0.229, 0.122], [0.229, 0.540, 0.122], [0.000, 0.000, 0.000], [0.890, 0.255, 0.575], [0.255, 0.280, 0.575], [0.423, 0.423, 0.730], [0.577, 0.577, 0.270], [0.745, 0.720, 0.425], [0.720, 0.110, 0.425], [0.280, 0.890, 0.575], [0.110, 0.745, 0.425]]}


# 2
{"formula": "Sm3Dy6Y2", "functional": "PBE-GGA", "state": "relaxed", "formation_energy_ev_per_atom": 0.280, "final_energy_ev_per_cell": -51.62, "magnetic_moment_mub_per_atom": 0.000, "lattice_angstrom": [[-1.785, 3.086, 3.127], [-1.870, -3.588, 2.473], [15.848, -0.815, 6.256]], "species": ["Sm", "Sm", "Sm", "Dy", "Dy", "Dy", "Dy", "Dy", "Dy", "Y", "Y"], "frac_coords": [[0.799, 0.799, 0.597], [0.201, 0.201, 0.403], [0.000, 0.000, 0.000], [0.122, 0.622, 0.243], [0.696, 0.696, 0.392], [0.878, 0.378, 0.757], [0.622, 0.122, 0.243], [0.378, 0.878, 0.757], [0.304, 0.304, 0.608], [0.546, 0.546, 0.092], [0.454, 0.454, 0.908]]}


# 3
{"formula": "Sm2DyY3", "functional": "PBE-GGA", "state": "relaxed", "formation_energy_ev_per_atom": 0.116, "final_energy_ev_per_cell": -65.48, "magnetic_moment_mub_per_atom": 0.000, "lattice_angstrom": [[-0.384, -3.301, -1.157], [3.555, -4.719, 6.930], [-10.606, -3.060, 6.892]], "species": ["Sm", "Sm", "Sm", "Sm", "Y", "Y", "Y", "Y", "Y", "Y", "Dy", "Dy"], "frac_coords": [[0.181, 0.520, 0.119], [0.819, 0.480, 0.881], [0.657, 0.156, 0.530], [0.343, 0.844, 0.470], [0.599, 0.828, 0.974], [0.738, 0.816, 0.708], [0.038, 0.137, 0.787], [0.262, 0.184, 0.292], [0.401, 0.172, 0.026], [0.962, 0.863, 0.213], [0.437, 0.483, 0.643], [0.563, 0.517, 0.357]]}


# 4
{"formula": "Sm2DyY7", "functional": "PBE-GGA", "state": "relaxed", "formation_energy_ev_per_atom": 0.206, "final_energy_ev_per_cell": -57.22, "magnetic_moment_mub_per_atom": 0.000, "lattice_angstrom": [[-2.446, 0.971, -2.255], [8.949, -4.015, -11.433], [-10.566, -2.215, 10.506]], "species": ["Dy", "Y", "Y", "Y", "Y", "Y", "Y", "Y", "Sm", "Sm"], "frac_coords": [[0.000, 0.000, 0.000], [0.000, 0.688, 0.312], [0.000, 0.312, 0.688], [0.500, 0.342, 0.144], [0.500, 0.658, 0.856], [0.500, 0.856, 0.658], [0.500, 0.144, 0.342], [0.500, 0.500, 0.500], [0.500, 0.207, 0.793], [0.500, 0.793, 0.207]]}


# 5
{"formula": "Sm2Dy3Y2", "functional": "PBE-GGA", "state": "relaxed", "formation_energy_ev_per_atom": 0.114, "final_energy_ev_per_cell": -35.37, "magnetic_moment_mub_per_atom": 0.000, "lattice_angstrom": [[3.520, 0.000, 0.000], [0.000, 8.514, -0.758], [-1.760, -3.566, 8.008]], "species": ["Dy", "Dy", "Dy", "Sm", "Sm", "Y", "Y"], "frac_coords": [[0.789, 0.199, 0.577], [0.000, 0.500, 0.000], [0.211, 0.801, 0.423], [0.566, 0.911, 0.133], [0.434, 0.089, 0.867], [0.149, 0.331, 0.297], [0.851, 0.669, 0.703]]}


# 6
{"formula": "SmDy2Y2", "functional": "PBE-GGA", "state": "relaxed", "formation_energy_ev_per_atom": 0.086, "final_energy_ev_per_cell": -52.84, "magnetic_moment_mub_per_atom": 0.000, "lattice_angstrom": [[-0.597, 6.696, -6.516], [-2.698, -6.375, -6.304], [-3.585, 0.592, 0.936]], "species": ["Sm", "Sm", "Dy", "Dy", "Dy", "Dy", "Y", "Y", "Y", "Y"], "frac_coords": [[0.000, 0.000, 0.000], [0.500, 0.500, 0.000], [0.374, 0.126, 0.000], [0.126, 0.626, 0.000], [0.874, 0.374, 0.000], [0.626, 0.874, 0.000], [0.172, 0.328, 0.500], [0.828, 0.672, 0.500], [0.328, 0.828, 0.500], [0.672, 0.172, 0.500]]}


# 7
{"formula": "Sm4Dy19Y6", "functional": "PBE-GGA", "state": "relaxed", "formation_energy_ev_per_atom": 0.389, "final_energy_ev_per_cell": -133.83, "magnetic_moment_mub_per_atom": 0.000, "lattice_angstrom": [[-10.337, -2.372, 2.037], [5.985, -8.947, 0.870], [3.472, 7.358, 7.101]], "species": ["Dy", "Dy", "Dy", "Dy", "Dy", "Dy", "Dy", "Dy", "Dy", "Dy", "Dy", "Dy", "Dy", "Dy", "Dy", "Dy", "Dy", "Dy", "Dy", "Sm", "Sm", "Sm", "Sm", "Y", "Y", "Y", "Y", "Y", "Y"], "frac_coords": [[0.000, 0.741, 0.741], [0.259, 0.000, 0.259], [0.802, 0.340, 0.018], [0.462, 0.677, 0.660], [0.677, 0.660, 0.462], [0.000, 0.000, 0.000], [0.259, 0.259, 0.000], [0.982, 0.323, 0.785], [0.660, 0.462, 0.677], [0.198, 0.215, 0.538], [0.323, 0.785, 0.982], [0.215, 0.538, 0.198], [0.018, 0.802, 0.340], [0.340, 0.018, 0.802], [0.538, 0.198, 0.215], [0.741, 0.741, 0.000], [0.741, 0.000, 0.741], [0.785, 0.982, 0.323], [0.000, 0.259, 0.259], [0.640, 0.000, 0.000], [0.000, 0.000, 0.640], [0.360, 0.360, 0.360], [0.000, 0.640, 0.000], [0.500, 0.128, 0.628], [0.128, 0.628, 0.500], [0.872, 0.372, 0.500], [0.500, 0.872, 0.372], [0.372, 0.500, 0.872], [0.628, 0.500, 0.128]]}


# 8
{"formula": "Sm2Dy9Y3", "functional": "PBE-GGA", "state": "relaxed", "formation_energy_ev_per_atom": 0.082, "final_energy_ev_per_cell": -69.10, "magnetic_moment_mub_per_atom": 0.000, "lattice_angstrom": [[6.080, 1.278, 1.674], [4.360, 12.366, 5.876], [2.264, 4.801, 8.874]], "species": ["Sm", "Sm", "Dy", "Dy", "Dy", "Dy", "Dy", "Dy", "Dy", "Dy", "Dy", "Y", "Y", "Y"], "frac_coords": [[0.612, 0.344, 0.572], [0.276, 0.696, 0.417], [0.589, 0.290, 0.001], [0.848, 0.898, 0.553], [0.069, 0.533, 0.088], [0.427, 0.689, 0.017], [0.146, 0.098, 0.478], [0.729, 0.883, 0.956], [0.278, 0.095, 0.079], [0.957, 0.446, 0.928], [0.988, 0.488, 0.508], [0.508, 0.251, 0.414], [0.048, 0.045, 0.912], [0.527, 0.744, 0.579]]}


# 9
{"formula": "Sm4Dy3Y5", "functional": "PBE-GGA", "state": "relaxed", "formation_energy_ev_per_atom": 0.227, "final_energy_ev_per_cell": -62.28, "magnetic_moment_mub_per_atom": 0.046, "lattice_angstrom": [[5.923, 0.000, 0.000], [2.962, 7.616, -2.722], [2.962, -0.881, 9.198]], "species": ["Dy", "Dy", "Dy", "Sm", "Sm", "Sm", "Sm", "Y", "Y", "Y", "Y", "Y"], "frac_coords": [[0.523, 0.688, 0.266], [0.000, 0.500, 0.500], [0.477, 0.312, 0.734], [0.138, 0.778, 0.945], [0.834, 0.950, 0.382], [0.166, 0.050, 0.618], [0.862, 0.222, 0.055], [0.369, 0.058, 0.203], [0.631, 0.942, 0.797], [0.500, 0.500, 0.500], [0.787, 0.542, 0.885], [0.213, 0.458, 0.115]]}


# 10
{"formula": "Sm4Dy4Y", "functional": "PBE-GGA", "state": "relaxed", "formation_energy_ev_per_atom": 0.018, "final_energy_ev_per_cell": -43.58, "magnetic_moment_mub_per_atom": 0.000, "lattice_angstrom": [[-2.993, 3.634, -1.860], [-3.435, -2.737, -6.711], [-7.320, -0.889, 3.155]], "species": ["Sm", "Sm", "Sm", "Sm", "Dy", "Dy", "Dy", "Dy", "Y"], "frac_coords": [[0.332, 0.668, 0.668], [0.668, 0.332, 0.332], [0.000, 0.332, 0.668], [0.000, 0.668, 0.332], [0.667, 0.667, 0.000], [0.333, 0.333, 0.000], [0.667, 0.000, 0.667], [0.333, 0.000, 0.333], [0.000, 0.000, 0.000]]}